# 1
Below is a relaxed structure of TiCdCu2, with properties calculated at the PBE level.

Cell: 4.593 4.593 2.931 Å, 90.00 90.00 90.00°
Fractional coordinates of all 4 atoms:
Ti: 0.000 0.000 0.000
Cd: 0.500 0.500 0.000
Cu: 0.000 0.500 0.500
Cu: 0.500 0.000 0.500

Values from the calculation:
Total DFT energy (no corrections): -16.63 eV for the cell shown
Crystal system: tetragonal

---

# 2
Below is a relaxed structure of SrBe2TlSn, with properties calculated at the PBE level.

Cell: 4.743 4.743 6.325 Å, 90.00 90.00 90.00°
Fractional coordinates of all 5 atoms:
Sr: 0.000 0.000 0.000
Be: 0.000 0.500 0.500
Be: 0.500 0.000 0.500
Tl: 0.500 0.500 0.000
Sn: 0.000 0.000 0.500

Values from the calculation:
Total DFT energy (no corrections): -12.45 eV for the cell shown
Crystal system: tetragonal

---

# 3
Below is a relaxed structure of Pr4ThHg, with properties calculated at the PBE level.

Cell: 3.689 3.689 14.600 Å, 90.00 90.00 90.00°
Fractional coordinates of all 6 atoms:
Pr: 0.000 0.000 0.142
Pr: 0.000 0.000 0.858
Pr: 0.500 0.500 0.331
Pr: 0.500 0.500 0.669
Th: 0.000 0.000 0.500
Hg: 0.500 0.500 0.000

Values from the calculation:
Total DFT energy (no corrections): -27.60 eV for the cell shown
Crystal system: tetragonal

---

# 4
Below is a relaxed structure of Ba4AuN, with properties calculated at the PBE level.

Cell: 9.798 9.798 9.835 Å, 107.31 107.31 37.49°
Fractional coordinates of all 12 atoms:
Ba: 0.056 0.056 0.380
Ba: 0.134 0.134 0.961
Ba: 0.252 0.252 0.684
Ba: 0.395 0.395 0.310
Ba: 0.605 0.605 0.690
Ba: 0.748 0.748 0.316
Ba: 0.866 0.866 0.039
Ba: 0.944 0.944 0.620
Au: 0.223 0.223 0.323
Au: 0.777 0.777 0.677
N: 0.098 0.098 0.680
N: 0.902 0.902 0.320

Values from the calculation:
Total DFT energy (no corrections): -42.48 eV for the cell shown
Crystal system: monoclinic

---

# 5
Below is a relaxed structure of NaTe2ICl, with properties calculated at the PBE level.

Cell: 5.215 5.215 7.799 Å, 90.00 90.00 90.00°
Fractional coordinates of all 5 atoms:
Na: 0.000 0.000 0.000
Te: 0.000 0.500 0.500
Te: 0.500 0.000 0.500
I: 0.500 0.500 0.000
Cl: 0.500 0.500 0.500

Values from the calculation:
Total DFT energy (no corrections): -10.71 eV for the cell shown
Crystal system: tetragonal

---

# 6
Below is a relaxed structure of LaTmMg, with properties calculated at the PBE level.

Cell: 3.520 3.520 17.220 Å, 90.00 90.00 120.00°
Fractional coordinates of all 6 atoms:
La: 0.000 0.000 0.101
La: 0.000 0.000 0.899
Tm: 0.333 0.667 0.271
Tm: 0.667 0.333 0.729
Mg: 0.333 0.667 0.573
Mg: 0.667 0.333 0.427

Values from the calculation:
Total DFT energy (no corrections): -21.56 eV for the cell shown
Crystal system: trigonal

---

# 7
Below is a relaxed structure of LiZrHg2, with properties calculated at the PBE level.

Cell: 3.064 4.620 6.057 Å, 90.00 90.00 90.00°
Fractional coordinates of all 4 atoms:
Li: 0.000 0.000 0.000
Zr: 0.500 0.500 0.332
Hg: 0.000 0.000 0.516
Hg: 0.500 0.500 0.844

Values from the calculation:
Total DFT energy (no corrections): -11.35 eV for the cell shown
Crystal system: orthorhombic

---

# 8
Below is a relaxed structure of ZrSn2Ru, with properties calculated at the PBE level.

Cell: 10.558 10.558 10.558 Å, 157.30 157.30 32.32°
Fractional coordinates of all 8 atoms:
Zr: 0.000 0.000 0.000
Zr: 0.750 0.250 0.500
Sn: 0.137 0.625 0.012
Sn: 0.375 0.387 0.512
Sn: 0.613 0.125 0.988
Sn: 0.875 0.863 0.488
Ru: 0.250 0.750 0.500
Ru: 0.500 0.500 0.000

Values from the calculation:
Total DFT energy (no corrections): -50.71 eV for the cell shown
Crystal system: tetragonal

---

# 9
Below is a relaxed structure of HfZn2GeF, with properties calculated at the PBE level.

Cell: 5.500 5.500 5.083 Å, 90.00 90.00 90.00°
Fractional coordinates of all 5 atoms:
Hf: 0.000 0.000 0.000
Zn: 0.000 0.500 0.000
Zn: 0.500 0.000 0.000
Ge: 0.000 0.000 0.500
F: 0.500 0.500 0.500

Values from the calculation:
Total DFT energy (no corrections): -16.18 eV for the cell shown
Crystal system: tetragonal

---

# 10
Below is a relaxed structure of TlH2O, with properties calculated at the PBE level.

Cell: 6.171 6.171 6.171 Å, 27.80 27.80 27.80°
Fractional coordinates of all 4 atoms:
Tl: 0.000 0.000 0.000
H: 0.168 0.168 0.168
H: 0.832 0.832 0.832
O: 0.500 0.500 0.500

Values from the calculation:
Total DFT energy (no corrections): -11.98 eV for the cell shown
Crystal system: trigonal

---

# 11
Below is a relaxed structure of La3AlGa2Pd6, with properties calculated at the PBE level.

Cell: 5.790 5.790 8.756 Å, 90.00 90.00 120.00°
Fractional coordinates of all 12 atoms:
La: 0.000 0.000 0.000
La: 0.333 0.667 0.633
La: 0.667 0.333 0.367
Al: 0.000 0.000 0.500
Ga: 0.333 0.667 0.032
Ga: 0.667 0.333 0.968
Pd: 0.172 0.345 0.285
Pd: 0.172 0.828 0.285
Pd: 0.345 0.172 0.715
Pd: 0.655 0.828 0.285
Pd: 0.828 0.172 0.715
Pd: 0.828 0.655 0.715

Values from the calculation:
Total DFT energy (no corrections): -64.86 eV for the cell shown
Crystal system: trigonal

---

# 12
Below is a relaxed structure of Y2FeCo, with properties calculated at the PBE level.

Cell: 6.161 6.161 6.161 Å, 147.52 138.08 54.00°
Fractional coordinates of all 4 atoms:
Y: 0.000 0.000 0.000
Y: 0.724 0.224 0.500
Fe: 0.300 0.800 0.500
Co: 0.433 0.433 0.000

Values from the calculation:
Total DFT energy (no corrections): -28.37 eV for the cell shown
Crystal system: orthorhombic

---

# 13
Below is a relaxed structure of AgSb2Pd5, with properties calculated at the PBE level.

Cell: 7.077 7.077 7.077 Å, 154.59 107.89 77.85°
Fractional coordinates of all 8 atoms:
Ag: 0.000 0.000 0.000
Sb: 0.261 0.761 0.500
Sb: 0.739 0.239 0.500
Pd: 0.133 0.371 0.762
Pd: 0.392 0.629 0.762
Pd: 0.500 0.000 0.500
Pd: 0.608 0.371 0.238
Pd: 0.867 0.629 0.238

Values from the calculation:
Total DFT energy (no corrections): -39.09 eV for the cell shown
Crystal system: orthorhombic

---

# 14
Below is a relaxed structure of LuPuCd, with properties calculated at the PBE level.

Cell: 7.403 7.403 7.403 Å, 153.74 153.74 37.48°
Fractional coordinates of all 3 atoms:
Lu: 0.000 0.000 0.000
Pu: 0.680 0.680 0.000
Cd: 0.347 0.347 0.000

Values from the calculation:
Total DFT energy (no corrections): -19.84 eV for the cell shown
Crystal system: tetragonal

---

# 15
Below is a relaxed structure of Mg12Zn6Rh, with properties calculated at the PBE level.

Cell: 7.145 7.145 7.145 Å, 87.91 87.91 87.91°
Fractional coordinates of all 19 atoms:
Mg: 0.034 0.302 0.939
Mg: 0.061 0.966 0.698
Mg: 0.143 0.351 0.486
Mg: 0.302 0.939 0.034
Mg: 0.351 0.486 0.143
Mg: 0.486 0.143 0.351
Mg: 0.514 0.857 0.649
Mg: 0.649 0.514 0.857
Mg: 0.698 0.061 0.966
Mg: 0.857 0.649 0.514
Mg: 0.939 0.034 0.302
Mg: 0.966 0.698 0.061
Zn: 0.229 0.757 0.398
Zn: 0.243 0.602 0.771
Zn: 0.398 0.229 0.757
Zn: 0.602 0.771 0.243
Zn: 0.757 0.398 0.229
Zn: 0.771 0.243 0.602
Rh: 0.500 0.500 0.500

Values from the calculation:
Total DFT energy (no corrections): -36.34 eV for the cell shown
Crystal system: trigonal

---

# 16
Below is a relaxed structure of Zr5P, with properties calculated at the PBE level.

Cell: 5.748 5.748 5.748 Å, 60.00 60.00 60.00°
Fractional coordinates of all 6 atoms:
Zr: 0.000 0.000 0.000
Zr: 0.119 0.627 0.627
Zr: 0.627 0.119 0.627
Zr: 0.627 0.627 0.119
Zr: 0.627 0.627 0.627
P: 0.250 0.250 0.250

Values from the calculation:
Total DFT energy (no corrections): -45.80 eV for the cell shown
Crystal system: cubic

---

# 17
Below is a relaxed structure of CaMoPd, with properties calculated at the PBE level.

Cell: 6.483 5.522 5.268 Å, 73.82 54.89 51.29°
Fractional coordinates of all 6 atoms:
Ca: 0.157 0.157 0.843
Ca: 0.843 0.843 0.157
Mo: 0.372 0.628 0.372
Mo: 0.628 0.372 0.628
Pd: 0.250 0.250 0.250
Pd: 0.750 0.750 0.750

Values from the calculation:
Total DFT energy (no corrections): -35.34 eV for the cell shown
Crystal system: orthorhombic

---

# 18
Below is a relaxed structure of Mn2ZnAg, with properties calculated at the PBE level.

Cell: 2.846 3.729 5.753 Å, 90.00 90.00 90.00°
Fractional coordinates of all 4 atoms:
Mn: 0.000 0.000 0.236
Mn: 0.000 0.000 0.764
Zn: 0.500 0.500 0.000
Ag: 0.500 0.500 0.500

Values from the calculation:
Total DFT energy (no corrections): -21.53 eV for the cell shown
Crystal system: orthorhombic

---

# 19
Below is a relaxed structure of GdSi2Ir2, with properties calculated at the PBE level.

Cell: 5.794 5.794 5.794 Å, 138.64 138.64 59.92°
Fractional coordinates of all 5 atoms:
Gd: 0.000 0.000 0.000
Si: 0.378 0.378 0.000
Si: 0.622 0.622 0.000
Ir: 0.250 0.750 0.500
Ir: 0.750 0.250 0.500

Values from the calculation:
Total DFT energy (no corrections): -48.03 eV for the cell shown
Crystal system: tetragonal

---

# 20
Below is a relaxed structure of OsPdPt2, with properties calculated at the PBE level.

Cell: 4.445 4.445 4.445 Å, 60.00 60.00 60.00°
Fractional coordinates of all 4 atoms:
Os: 0.000 0.000 0.000
Pd: 0.500 0.500 0.500
Pt: 0.250 0.250 0.250
Pt: 0.750 0.750 0.750

Values from the calculation:
Total DFT energy (no corrections): -27.09 eV for the cell shown
Crystal system: cubic

---

# 21
Below is a relaxed structure of Pm2Zn3Ga4, with properties calculated at the PBE level.

Cell: 8.217 8.217 7.831 Å, 90.00 90.00 138.58°
Fractional coordinates of all 18 atoms:
Pm: 0.109 0.891 0.905
Pm: 0.391 0.609 0.405
Pm: 0.609 0.391 0.595
Pm: 0.891 0.109 0.095
Zn: 0.000 0.000 0.500
Zn: 0.023 0.477 0.750
Zn: 0.477 0.023 0.250
Zn: 0.500 0.500 0.000
Zn: 0.523 0.977 0.750
Zn: 0.977 0.523 0.250
Ga: 0.176 0.824 0.519
Ga: 0.190 0.310 0.750
Ga: 0.310 0.190 0.250
Ga: 0.324 0.676 0.019
Ga: 0.676 0.324 0.981
Ga: 0.690 0.810 0.750
Ga: 0.810 0.690 0.250
Ga: 0.824 0.176 0.481

Values from the calculation:
Total DFT energy (no corrections): -58.57 eV for the cell shown
Crystal system: orthorhombic

---

# 22
Below is a relaxed structure of BaLi2O2, with properties calculated at the PBE level.

Cell: 6.603 6.603 6.603 Å, 124.36 124.36 82.60°
Fractional coordinates of all 10 atoms:
Ba: 0.000 0.000 0.000
Ba: 0.750 0.250 0.500
Li: 0.271 0.602 0.669
Li: 0.352 0.183 0.831
Li: 0.352 0.521 0.169
Li: 0.933 0.602 0.331
O: 0.175 0.437 0.262
O: 0.175 0.912 0.738
O: 0.187 0.425 0.762
O: 0.662 0.425 0.238

Values from the calculation:
Total DFT energy (no corrections): -48.64 eV for the cell shown
Crystal system: tetragonal

---

# 23
Below is a relaxed structure of NaInHgS, with properties calculated at the PBE level.

Cell: 5.182 5.182 5.182 Å, 60.00 60.00 60.00°
Fractional coordinates of all 4 atoms:
Na: 0.000 0.000 0.000
In: 0.500 0.500 0.500
Hg: 0.750 0.750 0.750
S: 0.250 0.250 0.250

Values from the calculation:
Total DFT energy (no corrections): -9.88 eV for the cell shown
Crystal system: cubic

---

# 24
Below is a relaxed structure of TbTmAlTc, with properties calculated at the PBE level.

Cell: 4.950 4.950 4.950 Å, 60.00 60.00 60.00°
Fractional coordinates of all 4 atoms:
Tb: 0.000 0.000 0.000
Tm: 0.500 0.500 0.500
Al: 0.250 0.250 0.250
Tc: 0.750 0.750 0.750

Values from the calculation:
Total DFT energy (no corrections): -23.89 eV for the cell shown
Crystal system: cubic

---

# 25
Below is a relaxed structure of SnBiTeI2, with properties calculated at the PBE level.

Cell: 6.030 6.030 6.116 Å, 90.00 90.00 90.00°
Fractional coordinates of all 5 atoms:
Sn: 0.000 0.000 0.000
Bi: 0.500 0.500 0.500
Te: 0.500 0.500 0.000
I: 0.000 0.500 0.500
I: 0.500 0.000 0.500

Values from the calculation:
Total DFT energy (no corrections): -12.97 eV for the cell shown
Crystal system: tetragonal